1.
Material: Eu2PH
Method: DFT, PBE
State: optimized geometry

Cell: 4.928 4.928 4.928 Å, 60.00 60.00 60.00°
Atoms (fractional coordinates):
Eu (0.250, 0.250, 0.250)
Eu (0.750, 0.750, 0.750)
P (0.000, 0.000, 0.000)
H (0.500, 0.500, 0.500)

Output
- space group = Fm-3m
- mass density (Mg/m³) = 6.59
- total energy (eV per atom) = -8.105
- crystal system = cubic
- V (Å³/f.u.) = 84.6

---

2.
Material: CePrNd2Dy5
Method: DFT, PBE
State: optimized geometry

Cell: 8.710 8.710 9.942 Å, 115.98 115.98 90.00°
Atoms (fractional coordinates):
Ce (0.250, 0.750, 0.500)
Ce (0.750, 0.250, 0.500)
Pr (0.250, 0.250, 0.500)
Pr (0.750, 0.750, 0.500)
Nd (0.120, 0.380, 0.000)
Nd (0.620, 0.120, 0.000)
Nd (0.380, 0.880, 0.000)
Nd (0.880, 0.620, 0.000)
Dy (0.936, 0.436, 0.277)
Dy (0.658, 0.158, 0.723)
Dy (0.064, 0.564, 0.723)
Dy (0.158, 0.064, 0.723)
Dy (0.564, 0.658, 0.723)
Dy (0.842, 0.936, 0.277)
Dy (0.436, 0.342, 0.277)
Dy (0.342, 0.842, 0.277)
Dy (0.500, 0.500, 0.000)
Dy (0.000, 0.000, 0.000)

Output
- space group = I4/mcm
- mass density (Mg/m³) = 7.75
- total energy (eV per atom) = -4.543
- calculated formation energy (eV/f.u.) = 2.369
- crystal system = tetragonal
- V (Å³/f.u.) = 296.0

---

3.
Material: AlCuHg2
Method: DFT, PBE
State: optimized geometry

Cell: 5.477 5.477 5.477 Å, 145.42 120.27 70.89°
Atoms (fractional coordinates):
Hg (0.010, 0.010, 0.000)
Hg (0.490, 0.490, 0.000)
Cu (0.250, 0.750, 0.500)
Al (0.750, 0.250, 0.500)

Output
- space group = Immm
- mass density (Mg/m³) = 10.30
- total energy (eV per atom) = -1.860
- calculated formation energy (eV/f.u.) = 1.001
- crystal system = orthorhombic
- V (Å³/f.u.) = 79.2

---

4.
Material: TlCrSi2
Method: DFT, PBE
State: optimized geometry

Cell: 3.054 3.054 7.758 Å, 90.00 90.00 90.00°
Atoms (fractional coordinates):
Cr (0.500, 0.500, 0.750)
Si (0.000, 0.000, 0.913)
Si (0.000, 0.000, 0.587)
Tl (0.500, 0.500, 0.250)

Output
- space group = P4/mmm
- mass density (Mg/m³) = 7.17
- total energy (eV per atom) = -5.472
- crystal system = tetragonal
- V (Å³/f.u.) = 72.4

---

5.
Material: Ca3Al3Ru2
Method: DFT, PBE
State: optimized geometry

Cell: 4.310 5.269 8.510 Å, 97.47 104.64 89.97°
Atoms (fractional coordinates):
Ru (0.780, 0.930, 0.561)
Ru (0.220, 0.070, 0.439)
Ca (0.840, 0.440, 0.682)
Ca (0.160, 0.560, 0.318)
Ca (0.000, 0.000, 0.000)
Al (0.366, 0.959, 0.733)
Al (0.500, 0.500, 0.000)
Al (0.634, 0.041, 0.267)

Output
- space group = P-1
- mass density (Mg/m³) = 3.61
- total energy (eV per atom) = -4.608
- calculated formation energy (eV/f.u.) = -1.082
- crystal system = triclinic
- V (Å³/f.u.) = 185.3

---

6.
Material: CdTcNi2C
Method: DFT, PBE
State: optimized geometry

Cell: 3.927 3.927 4.055 Å, 90.00 90.00 90.00°
Atoms (fractional coordinates):
Ni (0.000, 0.500, 0.000)
Ni (0.500, 0.000, 0.000)
C (0.000, 0.000, 0.000)
Tc (0.000, 0.000, 0.500)
Cd (0.500, 0.500, 0.500)

Output
- space group = P4/mmm
- mass density (Mg/m³) = 9.02
- total energy (eV per atom) = -6.277
- calculated formation energy (eV/f.u.) = 0.680
- crystal system = tetragonal
- V (Å³/f.u.) = 62.5